DFT (PBE-GGA) results for PuScTe2Cl after structural relaxation.

```
data_PuScTe2Cl
_chemical_formula_sum 'Pu2 Sc2 Te4 Cl2'
_cell_length_a 4.2981
_cell_length_b 4.2981
_cell_length_c 14.7172
_cell_angle_alpha 90.00
_cell_angle_beta 90.00
_cell_angle_gamma 90.00
_symmetry_space_group_name_H-M 'P 4/n m m'
_symmetry_Int_Tables_number 129
loop_
_symmetry_equiv_pos_as_xyz
'x,y,z'
'-x,-y,-z'
'-y+1/2,x,z'
'y+1/2,-x,-z'
'-x+1/2,-y+1/2,z'
'x+1/2,y+1/2,-z'
'y,-x+1/2,z'
'-y,x+1/2,-z'
'x+1/2,-y,-z'
'-x+1/2,y,z'
'-y,-x,-z'
'y,x,z'
'-x,y+1/2,-z'
'x,-y+1/2,z'
'y+1/2,x+1/2,-z'
'-y+1/2,-x+1/2,z'
loop_
_atom_site_label
_atom_site_type_symbol
_atom_site_fract_x
_atom_site_fract_y
_atom_site_fract_z
Pu1 Pu 0.2500 0.2500 0.1327
Sc1 Sc 0.2500 0.2500 0.5914
Te1 Te 0.2500 0.2500 0.3924
Te2 Te 0.2500 0.2500 0.7886
Cl1 Cl 0.2500 0.7500 0.0000
```

Output
**Raw formation energy**: -1305.9 meV/atom